# 1
CdPPbO2 GGA-PBE optimized geometry; total energy = -4.09 eV per atom; crystal system = tetragonal; magnetic moment = 0.0 μB per cell; uncorrected formation energy = -0.096 eV/atom; space-group type = P4/mmm (123); energy above the most stable polymorph in this dataset = 0.000 eV per atom
1.0
3.898 0.000 0.000
0.000 3.898 0.000
0.000 0.000 5.485
Cd P Pb O
1 1 1 2
direct
0.000 0.000 0.000
0.500 0.500 0.500
0.500 0.500 0.000
0.000 0.500 0.500
0.500 0.000 0.500



# 2
Y2ThSb2 GGA-PBE optimized geometry; total energy = -6.32 eV per atom; crystal system = monoclinic; magnetic moment = 0.0 μB per cell; uncorrected formation energy = -0.600 eV/atom; space-group type = C2/c (15)
1.0
5.231 -6.084 0.000
5.231 6.084 0.000
-3.245 0.000 5.013
Y Th Sb
4 2 4
direct
0.092 0.277 0.466
0.277 0.092 0.966
0.723 0.908 0.034
0.908 0.723 0.534
0.400 0.600 0.250
0.600 0.400 0.750
0.128 0.872 0.250
0.316 0.684 0.750
0.684 0.316 0.250
0.872 0.128 0.750



# 3
ScCd GGA-PBE optimized geometry; total energy = -3.76 eV per atom; crystal system = tetragonal; magnetic moment = 0.0 μB per cell; formation energy = -0.28 eV/f.u.; space-group type = I4_1/amd (141)
1.0
4.356 0.000 0.000
0.000 4.356 0.000
0.000 0.000 9.406
Sc Cd
4 4
direct
0.000 0.250 0.375
0.000 0.750 0.625
0.500 0.250 0.125
0.500 0.750 0.875
0.000 0.250 0.875
0.000 0.750 0.125
0.500 0.250 0.625
0.500 0.750 0.375



# 4
Na2AgHg2 GGA-PBE optimized geometry; total energy = -1.36 eV per atom; crystal system = monoclinic; magnetic moment = 0.0 μB per cell; formation energy = -0.71 eV/f.u.; space-group type = C2/m (12); energy above the most stable polymorph in this dataset = 0.000 eV per atom
1.0
5.563 -2.461 0.000
5.563 2.461 0.000
-2.979 0.000 9.239
Na Ag Hg
4 2 4
direct
0.050 0.050 0.359
0.174 0.174 0.075
0.826 0.826 0.925
0.950 0.950 0.641
0.269 0.269 0.683
0.731 0.731 0.317
0.361 0.361 0.409
0.469 0.469 0.138
0.531 0.531 0.862
0.639 0.639 0.591



What is the magnetic moment in the third record? 0.0 μB per cell